Entry 1:
## Be2FeTc (PBE-GGA)

Data for crystalline Be2FeTc at its relaxed geometry.

Values from the calculation:
- ΔH_f (0 K) (eV/atom) = 0.072
- excess energy over the best structure of this formula in the dataset (meV/atom) = 199
- SG = No. 12
- electronic total energy (eV for the cell shown) = -25.99
- ρ (g/cm³) = 6.48

POSCAR file:
```
Be2FeTc
1.0
3.9066 -1.2392 0.0000
3.9066 1.2392 0.0000
-0.6344 0.0000 4.5471
Be Fe Tc
2 1 1
Direct
0.2465 0.2465 0.2328 Be
0.7535 0.7535 0.7672 Be
0.5000 0.5000 0.0000 Fe
0.0000 0.0000 0.5000 Tc
```

Entry 2:
## BeFe2Tc (PBE-GGA)

Data for crystalline BeFe2Tc at its relaxed geometry.

Values from the calculation:
- ΔH_f (0 K) (eV/atom) = 0.090
- SG = No. 65
- electronic total energy (eV for the cell shown) = -30.66
- ρ (g/cm³) = 7.79

POSCAR file:
```
BeFe2Tc
1.0
2.4550 -3.7247 0.0000
2.4550 3.7247 0.0000
0.0000 0.0000 2.5482
Be Fe Tc
1 2 1
Direct
0.0000 0.0000 0.0000 Be
0.0000 0.5000 0.5000 Fe
0.5000 0.0000 0.5000 Fe
0.5000 0.5000 0.0000 Tc
```

Entry 3:
## Be2FeTc (PBE-GGA)

Data for crystalline Be2FeTc at its relaxed geometry.

Values from the calculation:
- ΔH_f (0 K) (eV/atom) = -0.059
- excess energy over the best structure of this formula in the dataset (meV/atom) = 68
- SG = No. 44
- electronic total energy (eV for the cell shown) = -26.52
- ρ (g/cm³) = 6.99

POSCAR file:
```
Be2FeTc
1.0
-1.3930 1.9105 3.8353
1.3930 -1.9105 3.8353
1.3930 1.9105 -3.8353
Be Fe Tc
2 1 1
Direct
0.0000 0.0000 0.0000 Be
0.7789 0.2789 0.5000 Be
0.2490 0.7490 0.5000 Fe
0.5172 0.5172 0.0000 Tc
```

Entry 4:
## Be5FeTc (PBE-GGA)

Data for crystalline Be5FeTc at its relaxed geometry.

Values from the calculation:
- ΔH_f (0 K) (eV/atom) = -0.174
- SG = No. 62
- electronic total energy (eV for the cell shown) = -154.70
- ρ (g/cm³) = 5.22

POSCAR file:
```
Be5FeTc
1.0
6.9304 0.0000 0.0000
0.0000 4.2052 0.0000
0.0000 0.0000 8.6774
Be Fe Tc
20 4 4
Direct
0.0465 0.2500 0.0976 Be
0.0645 0.5093 0.3138 Be
0.0645 0.9907 0.3138 Be
0.0979 0.7500 0.5184 Be
0.1905 0.7500 0.7500 Be
0.3095 0.2500 0.2500 Be
0.4021 0.2500 0.0184 Be
0.4355 0.0093 0.8138 Be
0.4355 0.4907 0.8138 Be
0.4535 0.7500 0.5976 Be
0.5465 0.2500 0.4024 Be
0.5645 0.5093 0.1862 Be
0.5645 0.9907 0.1862 Be
0.5979 0.7500 0.9816 Be
0.6905 0.7500 0.7500 Be
0.8095 0.2500 0.2500 Be
0.9021 0.2500 0.4816 Be
0.9355 0.0093 0.6862 Be
0.9355 0.4907 0.6862 Be
0.9535 0.7500 0.9024 Be
0.1397 0.2500 0.8619 Fe
0.3603 0.7500 0.3619 Fe
0.6397 0.2500 0.6381 Fe
0.8603 0.7500 0.1381 Fe
0.2474 0.7500 0.0679 Tc
0.2526 0.2500 0.5679 Tc
0.7474 0.7500 0.4321 Tc
0.7526 0.2500 0.9321 Tc
```

Entry 5:
## Be2FeTc (PBE-GGA)

Data for crystalline Be2FeTc at its relaxed geometry.

Values from the calculation:
- ΔH_f (0 K) (eV/atom) = -0.126
- excess energy over the best structure of this formula in the dataset (meV/atom) = 2
- SG = No. 38
- electronic total energy (eV for the cell shown) = -26.79
- ρ (g/cm³) = 6.88

POSCAR file:
```
Be2FeTc
1.0
3.2179 0.0000 0.0000
0.0000 1.5203 4.2383
0.0000 -1.5203 4.2383
Be Fe Tc
2 1 1
Direct
0.0000 0.0000 0.0000 Be
0.5000 0.1488 0.1488 Be
0.0000 0.7231 0.7231 Fe
0.5000 0.4231 0.4231 Tc
```

Entry 6:
## BeFe3Tc (PBE-GGA)

Data for crystalline BeFe3Tc at its relaxed geometry.

Values from the calculation:
- ΔH_f (0 K) (eV/atom) = 0.612
- excess energy over the best structure of this formula in the dataset (meV/atom) = 0
- SG = No. 221
- electronic total energy (eV for the cell shown) = -36.42
- ρ (g/cm³) = 8.31

POSCAR file:
```
BeFe3Tc
1.0
3.7994 0.0000 0.0000
0.0000 3.7994 0.0000
0.0000 0.0000 3.7994
Be Fe Tc
1 3 1
Direct
0.0000 0.0000 0.0000 Be
0.0000 0.0000 0.5000 Fe
0.0000 0.5000 0.0000 Fe
0.5000 0.0000 0.0000 Fe
0.5000 0.5000 0.5000 Tc
```

Entry 7:
## Be8Fe3Tc (PBE-GGA)

Data for crystalline Be8Fe3Tc at its relaxed geometry.

Values from the calculation:
- ΔH_f (0 K) (eV/atom) = -0.284
- SG = No. 156
- electronic total energy (eV for the cell shown) = -68.97
- ρ (g/cm³) = 5.26

POSCAR file:
```
Be8Fe3Tc
1.0
4.2232 0.0000 0.0000
-2.1116 3.6574 0.0000
0.0000 0.0000 6.9034
Be Fe Tc
8 3 1
Direct
0.0000 0.0000 0.0000 Be
0.0000 0.0000 0.4950 Be
0.1693 0.3387 0.7505 Be
0.1693 0.8307 0.7505 Be
0.3407 0.1703 0.2424 Be
0.6613 0.8307 0.7505 Be
0.8297 0.1703 0.2424 Be
0.8297 0.6593 0.2424 Be
0.3333 0.6667 0.0577 Fe
0.3333 0.6667 0.4319 Fe
0.6667 0.3333 0.9369 Fe
0.6667 0.3333 0.5563 Tc
```

Entry 8:
## BeFe2Tc (PBE-GGA)

Data for crystalline BeFe2Tc at its relaxed geometry.

Values from the calculation:
- ΔH_f (0 K) (eV/atom) = 0.035
- SG = No. 47
- electronic total energy (eV for the cell shown) = -30.88
- ρ (g/cm³) = 8.11

POSCAR file:
```
BeFe2Tc
1.0
2.5808 0.0000 0.0000
0.0000 3.5536 0.0000
0.0000 0.0000 4.8827
Be Fe Tc
1 2 1
Direct
0.0000 0.0000 0.0000 Be
0.5000 0.5000 0.2283 Fe
0.5000 0.5000 0.7717 Fe
0.0000 0.0000 0.5000 Tc
```

Entry 9:
## Be2FeTc (PBE-GGA)

Data for crystalline Be2FeTc at its relaxed geometry.

Values from the calculation:
- ΔH_f (0 K) (eV/atom) = -0.087
- excess energy over the best structure of this formula in the dataset (meV/atom) = 41
- SG = No. 119
- electronic total energy (eV for the cell shown) = -26.63
- ρ (g/cm³) = 6.85

POSCAR file:
```
Be2FeTc
1.0
-1.9416 1.9416 2.7634
1.9416 -1.9416 2.7634
1.9416 1.9416 -2.7634
Be Fe Tc
2 1 1
Direct
0.0000 0.0000 0.0000 Be
0.7500 0.2500 0.5000 Be
0.2500 0.7500 0.5000 Fe
0.5000 0.5000 0.0000 Tc
```

Entry 10:
## Be2FeTc (PBE-GGA)

Data for crystalline Be2FeTc at its relaxed geometry.

Values from the calculation:
- ΔH_f (0 K) (eV/atom) = -0.128
- excess energy over the best structure of this formula in the dataset (meV/atom) = 0
- SG = No. 99
- electronic total energy (eV for the cell shown) = -26.79
- ρ (g/cm³) = 6.98

POSCAR file:
```
Be2FeTc
1.0
2.6831 0.0000 0.0000
0.0000 2.6831 0.0000
0.0000 0.0000 5.6774
Be Fe Tc
2 1 1
Direct
0.0000 0.0000 0.0000 Be
0.5000 0.5000 0.2017 Be
0.0000 0.0000 0.4276 Fe
0.5000 0.5000 0.7083 Tc
```

Entry 11:
## Be15Fe2Tc2 (PBE-GGA)

Data for crystalline Be15Fe2Tc2 at its relaxed geometry.

Values from the calculation:
- ΔH_f (0 K) (eV/atom) = -0.180
- SG = No. 166
- electronic total energy (eV for the cell shown) = -96.97
- ρ (g/cm³) = 4.45

POSCAR file:
```
Be15Fe2Tc2
1.0
3.6579 2.1119 3.5652
-3.6579 2.1119 3.5652
0.0000 -4.2238 3.5652
Be Fe Tc
15 2 2
Direct
0.0000 0.0000 0.5000 Be
0.0000 0.2963 0.7037 Be
0.0000 0.5000 0.0000 Be
0.0000 0.7037 0.2963 Be
0.1617 0.6472 0.6472 Be
0.2963 0.0000 0.7037 Be
0.2963 0.7037 0.0000 Be
0.3528 0.3528 0.8383 Be
0.3528 0.8383 0.3528 Be
0.5000 0.0000 0.0000 Be
0.6472 0.1617 0.6472 Be
0.6472 0.6472 0.1617 Be
0.7038 0.0000 0.2963 Be
0.7038 0.2963 0.0000 Be
0.8383 0.3528 0.3528 Be
0.1044 0.1044 0.1044 Fe
0.8956 0.8956 0.8956 Fe
0.3446 0.3446 0.3446 Tc
0.6554 0.6554 0.6554 Tc
```

Entry 12:
## BeFe2Tc (PBE-GGA)

Data for crystalline BeFe2Tc at its relaxed geometry.

Values from the calculation:
- ΔH_f (0 K) (eV/atom) = -0.038
- SG = No. 123
- electronic total energy (eV for the cell shown) = -31.17
- ρ (g/cm³) = 8.41

POSCAR file:
```
BeFe2Tc
1.0
2.6485 0.0000 0.0000
0.0000 2.6485 0.0000
0.0000 0.0000 6.1542
Be Fe Tc
1 2 1
Direct
0.0000 0.0000 0.0000 Be
0.5000 0.5000 0.2151 Fe
0.5000 0.5000 0.7849 Fe
0.0000 0.0000 0.5000 Tc
```